## LaLu2Cu (PBE)

Data for LaLu2Cu after structural relaxation.

a = 3.4575 Å, b = 3.4575 Å, c = 8.8040 Å
α = 90.00°, β = 90.00°, γ = 90.00°
Element x y z (fractional)
Cu 0.5000 0.5000 0.0000
Lu 0.0000 0.0000 0.8144
Lu 0.0000 0.0000 0.1856
La 0.5000 0.5000 0.5000

Computed properties:
Total moment (μB/f.u.): 0.00
ΔE_f (eV per atom): -0.11
DOS(E_F) (states/eV/cell): 4.16
Symmetry: P4/mmm

---

## KIr2Pt (PBE)

Data for KIr2Pt after structural relaxation.

a = 4.6173 Å, b = 4.6173 Å, c = 4.6173 Å
α = 60.00°, β = 60.00°, γ = 60.00°
Element x y z (fractional)
K 0.0000 0.0000 0.0000
Pt 0.5000 0.5000 0.5000
Ir 0.7500 0.7500 0.7500
Ir 0.2500 0.2500 0.2500

Computed properties:
Total moment (μB/f.u.): 0.00
ΔE_f (eV per atom): 1.22
DOS(E_F) (states/eV/cell): 8.73
Symmetry: Fm-3m
ΔE to the lowest computed polymorph (eV per atom): 0.9022

---

## LaTbNd3Y (PBE)

Data for LaTbNd3Y after structural relaxation.

a = 5.1905 Å, b = 8.1492 Å, c = 10.9496 Å
α = 116.32°, β = 90.00°, γ = 90.00°
Element x y z (fractional)
Y 0.2500 0.6229 0.1247
La 0.2500 0.1232 0.2925
Tb 0.2500 0.1258 0.6258
Nd 0.7500 0.3771 0.2084
Nd 0.7500 0.3726 0.5430
Nd 0.2500 0.6229 0.7916
Nd 0.7500 0.8725 0.0417
Tb 0.7500 0.8742 0.3742
La 0.7500 0.8768 0.7075
Nd 0.2500 0.6274 0.4570
Y 0.7500 0.3771 0.8753
Nd 0.2500 0.1275 0.9583

Computed properties:
Total moment (μB/f.u.): 0.00
ΔE_f (eV per atom): 0.02
DOS(E_F) (states/eV/cell): 19.70
Symmetry: P2_1/m

---

## CaHg2SbPt (PBE)

Data for CaHg2SbPt after structural relaxation.

a = 5.5135 Å, b = 5.8595 Å, c = 5.5135 Å
α = 90.00°, β = 90.00°, γ = 90.00°
Element x y z (fractional)
Sb 0.0000 0.5000 0.0000
Hg 0.0000 0.0000 0.5000
Pt 0.5000 0.5000 0.5000
Hg 0.5000 0.0000 0.0000
Ca 0.0000 0.0000 0.0000

Computed properties:
Total moment (μB/f.u.): 0.00
DOS(E_F) (states/eV/cell): 4.00
Raw formation energy (eV per atom): 0.871
Symmetry: P4/mmm

---

## NiH (PBE)

Data for NiH after structural relaxation.

a = 7.1086 Å, b = 7.1086 Å, c = 2.5949 Å
α = 90.00°, β = 90.00°, γ = 90.00°
Element x y z (fractional)
Ni 0.3779 0.1708 0.0000
H 0.2329 0.1102 0.5000
Ni 0.6221 0.8292 0.0000
H 0.7329 0.6102 0.0000
H 0.8898 0.2329 0.5000
H 0.7671 0.8898 0.5000
Ni 0.1708 0.6221 0.0000
H 0.2671 0.3898 0.0000
H 0.3898 0.7329 0.0000
Ni 0.3292 0.8779 0.5000
H 0.1102 0.7671 0.5000
Ni 0.8292 0.3779 0.0000
Ni 0.1221 0.3292 0.5000
H 0.6102 0.2671 0.0000
Ni 0.8779 0.6708 0.5000
Ni 0.6708 0.1221 0.5000

Computed properties:
Total moment (μB/f.u.): 0.00
DOS(E_F) (states/eV/cell): 10.00
Calculated total energy (eV per formula unit): -9.04
Symmetry: I4/m

---

## Bi3BAu (PBE)

Data for Bi3BAu after structural relaxation.

a = 5.0265 Å, b = 5.0265 Å, c = 5.0265 Å
α = 90.00°, β = 90.00°, γ = 90.00°
Element x y z (fractional)
B 0.0000 0.0000 0.0000
Au 0.5000 0.5000 0.5000
Bi 0.5000 0.0000 0.0000
Bi 0.0000 0.0000 0.5000
Bi 0.0000 0.5000 0.0000

Computed properties:
Total moment (μB/f.u.): 0.00
ΔE_f (eV per atom): 0.77
DOS(E_F) (states/eV/cell): 3.32
Symmetry: Pm-3m
ΔE to the lowest computed polymorph (eV per atom): 0.0000

---

## HgTe2Pb (PBE)

Data for HgTe2Pb after structural relaxation.

a = 13.5898 Å, b = 13.5898 Å, c = 13.5898 Å
α = 13.93°, β = 13.93°, γ = 13.93°
Element x y z (fractional)
Hg 0.2500 0.2500 0.2500
Te 0.0053 0.0053 0.0053
Pb 0.7500 0.7500 0.7500
Te 0.4947 0.4947 0.4947

Computed properties:
Total moment (μB/f.u.): 0.00
DOS(E_F) (states/eV/cell): 3.49
Raw formation energy (eV per atom): 0.139
Symmetry: R-3m

---

## Pu3Zn5S12 (PBE)

Data for Pu3Zn5S12 after structural relaxation.

a = 12.9400 Å, b = 12.9400 Å, c = 12.9400 Å
α = 109.47°, β = 109.47°, γ = 109.47°
Site moments in Bohr magnetons follow the coordinates.
Element x y z (fractional)
S 0.6766 0.2172 0.5897  -0.20
S 0.8725 0.5897 0.9130  -0.20
S 0.7828 0.4595 0.3725  -0.20
Zn 0.3750 0.2500 0.1250  -0.03
S 0.1275 0.7172 0.5405  -0.20
S 0.1275 0.4103 0.0870  -0.20
Zn 0.3750 0.1250 0.7500  -0.03
S 0.3234 0.5405 0.4130  -0.20
Pu 0.1250 0.8750 0.7500  4.50
S 0.9130 0.8234 0.5405  -0.20
Pu 0.8750 0.1250 0.2500  4.50
S 0.4130 0.0405 0.3234  -0.20
S 0.5897 0.7172 0.6766  -0.20
S 0.6766 0.4595 0.5870  -0.20
S 0.9103 0.8234 0.7828  -0.20
S 0.8234 0.9103 0.2828  -0.20
Zn 0.5000 0.5000 0.5000  -0.02
Zn 0.0000 0.5000 0.0000  -0.02
S 0.7828 0.3234 0.9103  -0.20
S 0.9103 0.0870 0.6275  -0.20
Pu 0.3750 0.6250 0.2500  4.50
S 0.2172 0.6766 0.0897  -0.20
Pu 0.1250 0.2500 0.8750  4.50
Zn 0.1250 0.7500 0.3750  -0.03
Zn 0.2500 0.3750 0.6250  -0.03
Zn 0.2500 0.8750 0.1250  -0.03
S 0.5405 0.2172 0.1275  -0.20
S 0.7172 0.1275 0.0405  -0.20
S 0.8234 0.9130 0.0405  -0.20
S 0.3725 0.9595 0.7828  -0.20
S 0.2172 0.5405 0.6275  -0.20
S 0.0870 0.1766 0.4595  -0.20
Zn 0.1250 0.3750 0.2500  -0.03
Pu 0.3750 0.7500 0.6250  4.50
S 0.5897 0.8725 0.4130  -0.20
S 0.5870 0.9595 0.6766  -0.20
S 0.2828 0.8725 0.9595  -0.20
Zn 0.5000 0.0000 0.0000  -0.02
S 0.0897 0.9130 0.3725  -0.20
Pu 0.6250 0.3750 0.7500  4.50
S 0.4103 0.1275 0.5870  -0.20
S 0.2828 0.4103 0.8234  -0.20
S 0.6275 0.5870 0.9103  -0.20
Zn 0.8750 0.6250 0.7500  -0.03
Zn 0.8750 0.2500 0.6250  -0.03
Zn 0.0000 0.0000 0.5000  -0.02
S 0.5405 0.3234 0.9130  -0.20
S 0.9595 0.5870 0.1766  -0.20
S 0.4130 0.3725 0.5897  -0.20
S 0.7172 0.5897 0.1766  -0.20
S 0.3725 0.4130 0.0897  -0.20
Zn 0.6250 0.8750 0.2500  -0.03
Zn 0.0000 0.0000 0.0000  -0.02
Zn 0.5000 0.0000 0.5000  -0.02
S 0.1766 0.0870 0.9595  -0.20
Zn 0.7500 0.1250 0.8750  -0.03
Pu 0.6250 0.2500 0.3750  4.50
Pu 0.8750 0.7500 0.1250  4.50
Pu 0.2500 0.6250 0.8750  4.50
S 0.0405 0.6275 0.7172  -0.20
S 0.6275 0.0405 0.2172  -0.20
S 0.4103 0.2828 0.3234  -0.20
S 0.0897 0.1766 0.2172  -0.20
S 0.0870 0.9103 0.1275  -0.20
S 0.5870 0.6275 0.4103  -0.20
S 0.9595 0.3725 0.2828  -0.20
S 0.3234 0.7828 0.4103  -0.20
S 0.4595 0.6766 0.0870  -0.20
Zn 0.7500 0.6250 0.3750  -0.03
S 0.9130 0.0897 0.8725  -0.20
Zn 0.6250 0.7500 0.8750  -0.03
Zn 0.0000 0.5000 0.5000  -0.02
Pu 0.7500 0.3750 0.1250  4.50
S 0.1766 0.0897 0.7172  -0.20
S 0.4595 0.7828 0.8725  -0.20
Zn 0.5000 0.5000 0.0000  -0.02
S 0.0405 0.4130 0.8234  -0.20
Pu 0.2500 0.1250 0.3750  4.50
S 0.8725 0.2828 0.4595  -0.20
Pu 0.7500 0.8750 0.6250  4.50

Computed properties:
Total moment (μB/f.u.): 10.25
DOS(E_F) (states/eV/cell): 120.01
Raw formation energy (eV per atom): -0.836
Symmetry: Ia-3d